Compound: RbV2AgBr8
Source: Alexandria
Functional: PBE-GGA
Structure: optimized geometry

Computed properties:
Its space-group type is P-3. Its uncorrected formation energy is -870 meV per atom. As for the mass density: 3.66 Mg/m³. The calculation puts the total energy at -3.823 eV/atom.

Cell and atoms, written as POSCAR:
```
RbV2AgBr8
1.0
6.995 0.000 0.000
-3.497 6.058 0.000
0.000 0.000 9.996
Rb V Ag Br
1 2 1 8
Direct
0.000 0.000 0.000 Rb
0.333 0.667 0.746 V
0.667 0.333 0.254 V
0.000 0.000 0.500 Ag
0.012 0.332 0.678 Br
0.320 0.988 0.678 Br
0.332 0.320 0.322 Br
0.333 0.667 0.984 Br
0.667 0.333 0.016 Br
0.668 0.680 0.678 Br
0.680 0.012 0.322 Br
0.988 0.668 0.322 Br
```

Compound: Rb2VAgBr
Source: Alexandria
Functional: PBE-GGA
Structure: optimized geometry

Computed properties:
Its space-group type is P4/mmm. Its uncorrected formation energy is 282 meV per atom. As for the energy relative to the lowest polymorph listed for this composition: 76 meV/atom. As for the mass density: 2.88 Mg/m³. The density of states at the Fermi level comes out at 3.05 states/eV per cell. The calculation puts the total energy at -2.833 eV/atom.

Cell and atoms, written as POSCAR:
```
Rb2VAgBr
1.0
6.955 0.000 0.000
0.000 6.955 0.000
0.000 0.000 4.891
Rb V Ag Br
2 1 1 1
Direct
0.000 0.500 0.000 Rb
0.500 0.000 0.000 Rb
0.000 0.000 0.000 V
0.500 0.500 0.500 Ag
0.000 0.000 0.500 Br
```

Compound: RbVAg2Br6
Source: Alexandria
Functional: PBE-GGA
Structure: optimized geometry

Computed properties:
Its space-group type is R3. Its uncorrected formation energy is -777 meV per atom. As for the mass density: 4.52 Mg/m³. The density of states at the Fermi level comes out at 8.83 states/eV per cell. The calculation puts the total energy at -3.360 eV/atom.

Cell and atoms, written as POSCAR:
```
RbVAg2Br6
1.0
3.639 2.101 6.662
-3.639 2.101 6.662
0.000 -4.202 6.662
Rb V Ag Br
1 1 2 6
Direct
0.000 0.000 0.000 Rb
0.473 0.473 0.473 V
0.278 0.278 0.278 Ag
0.810 0.810 0.810 Ag
0.088 0.627 0.469 Br
0.254 0.535 0.848 Br
0.469 0.088 0.627 Br
0.535 0.848 0.254 Br
0.627 0.469 0.088 Br
0.848 0.254 0.535 Br
```

Compound: Rb2VAgBr
Source: Alexandria
Functional: PBE-GGA
Structure: optimized geometry

Computed properties:
Its space-group type is P4/mmm. Its uncorrected formation energy is 206 meV per atom. As for the energy relative to the lowest polymorph listed for this composition: 0 meV/atom. As for the mass density: 2.92 Mg/m³. The density of states at the Fermi level comes out at 5.79 states/eV per cell. The calculation puts the total energy at -2.909 eV/atom.

Cell and atoms, written as POSCAR:
```
Rb2VAgBr
1.0
6.690 0.000 0.000
0.000 6.690 0.000
0.000 0.000 5.199
Rb V Ag Br
2 1 1 1
Direct
0.000 0.500 0.000 Rb
0.500 0.000 0.000 Rb
0.000 0.000 0.500 V
0.000 0.000 0.000 Ag
0.500 0.500 0.500 Br
```

Compound: RbYAgBr6
Source: Alexandria
Functional: PBE-GGA
Structure: optimized geometry

Computed properties:
Its space-group type is P1. Its uncorrected formation energy is -1289 meV per atom. As for the mass density: 3.58 Mg/m³. The density of states at the Fermi level comes out at 3.10 states/eV per cell. The calculation puts the total energy at -3.546 eV/atom.

Cell and atoms, written as POSCAR:
```
RbYAgBr6
1.0
7.139 0.000 0.000
-3.037 6.468 0.000
-0.340 -0.520 7.660
Rb Y Ag Br
1 1 1 6
Direct
0.000 0.000 0.000 Rb
0.335 0.666 0.501 Y
0.681 0.320 0.500 Ag
0.021 0.357 0.684 Br
0.028 0.621 0.256 Br
0.382 0.972 0.747 Br
0.407 0.368 0.284 Br
0.632 0.592 0.717 Br
0.644 0.980 0.317 Br
```

Compound: RbZn2Ag2Br7
Source: Alexandria
Functional: PBE-GGA
Structure: optimized geometry

Computed properties:
Its space-group type is R32. Its uncorrected formation energy is -812 meV per atom. As for the mass density: 3.08 Mg/m³. The density of states at the Fermi level comes out at 0.00 states/eV per cell. The calculation puts the total energy at -2.556 eV/atom.

Cell and atoms, written as POSCAR:
```
RbZn2Ag2Br7
1.0
3.670 2.119 11.436
-3.670 2.119 11.436
0.000 -4.238 11.436
Rb Zn Ag Br
1 2 2 7
Direct
0.000 0.000 0.000 Rb
0.428 0.428 0.428 Zn
0.572 0.572 0.572 Zn
0.254 0.254 0.254 Ag
0.746 0.746 0.746 Ag
0.102 0.386 0.732 Br
0.268 0.614 0.898 Br
0.386 0.732 0.102 Br
0.500 0.500 0.500 Br
0.614 0.898 0.268 Br
0.732 0.102 0.386 Br
0.898 0.268 0.614 Br
```

Compound: RbZn2AgBr6
Source: Alexandria
Functional: PBE-GGA
Structure: optimized geometry

Computed properties:
Its space-group type is C2/c. Its uncorrected formation energy is -943 meV per atom. As for the mass density: 3.63 Mg/m³. The density of states at the Fermi level comes out at 0.00 states/eV per cell. The calculation puts the total energy at -2.584 eV/atom.

Cell and atoms, written as POSCAR:
```
RbZn2AgBr6
1.0
7.043 -7.838 0.000
7.043 7.838 0.000
-1.099 0.000 6.657
Rb Zn Ag Br
2 4 2 12
Direct
0.115 0.885 0.750 Rb
0.885 0.115 0.250 Rb
0.224 0.374 0.777 Zn
0.374 0.224 0.277 Zn
0.626 0.776 0.723 Zn
0.776 0.626 0.223 Zn
0.344 0.656 0.250 Ag
0.656 0.344 0.750 Ag
0.044 0.213 0.737 Br
0.180 0.582 0.931 Br
0.213 0.044 0.237 Br
0.301 0.419 0.448 Br
0.418 0.820 0.569 Br
0.419 0.301 0.948 Br
0.581 0.699 0.052 Br
0.582 0.180 0.431 Br
0.699 0.581 0.552 Br
0.787 0.956 0.763 Br
0.820 0.418 0.069 Br
0.956 0.787 0.263 Br
```

Compound: RbZnAgBr4
Source: Alexandria
Functional: PBE-GGA
Structure: optimized geometry

Computed properties:
Its space-group type is P2_1/m. Its uncorrected formation energy is -975 meV per atom. As for the mass density: 4.08 Mg/m³. The density of states at the Fermi level comes out at 0.00 states/eV per cell. The calculation puts the total energy at -2.659 eV/atom.

Cell and atoms, written as POSCAR:
```
RbZnAgBr4
1.0
6.743 0.000 0.000
0.000 7.734 0.000
-2.421 0.000 9.035
Rb Zn Ag Br
2 2 2 8
Direct
0.243 0.250 0.065 Rb
0.757 0.750 0.935 Rb
0.217 0.750 0.314 Zn
0.783 0.250 0.686 Zn
0.157 0.250 0.518 Ag
0.843 0.750 0.482 Ag
0.031 0.007 0.711 Br
0.031 0.493 0.711 Br
0.330 0.750 0.089 Br
0.475 0.750 0.545 Br
0.525 0.250 0.455 Br
0.670 0.250 0.911 Br
0.969 0.507 0.289 Br
0.969 0.993 0.289 Br
```

Compound: Re2AgBr
Source: Alexandria
Functional: PBE-GGA
Structure: optimized geometry

Computed properties:
Its space-group type is Cmmm. Its uncorrected formation energy is 1218 meV per atom. As for the energy relative to the lowest polymorph listed for this composition: 783 meV/atom. As for the mass density: 13.72 Mg/m³. The density of states at the Fermi level comes out at 6.73 states/eV per cell. The calculation puts the total energy at -6.137 eV/atom.

Cell and atoms, written as POSCAR:
```
Re2AgBr
1.0
2.855 0.000 0.000
0.000 4.826 0.000
0.000 0.000 9.840
Re Ag Br
4 2 2
Direct
0.000 0.000 0.248 Re
0.000 0.000 0.752 Re
0.500 0.500 0.248 Re
0.500 0.500 0.752 Re
0.000 0.500 0.500 Ag
0.500 0.000 0.500 Ag
0.000 0.500 0.000 Br
0.500 0.000 0.000 Br
```

Compound: ReAg2Br
Source: Alexandria
Functional: PBE-GGA
Structure: optimized geometry

Computed properties:
Its space-group type is Cmmm. Its uncorrected formation energy is 922 meV per atom. As for the energy relative to the lowest polymorph listed for this composition: 344 meV/atom. As for the mass density: 10.97 Mg/m³. The density of states at the Fermi level comes out at 6.79 states/eV per cell. The calculation puts the total energy at -4.034 eV/atom.

Cell and atoms, written as POSCAR:
```
ReAg2Br
1.0
5.615 0.000 0.000
0.000 9.496 0.000
0.000 0.000 2.737
Re Ag Br
2 4 2
Direct
0.000 0.000 0.000 Re
0.500 0.500 0.000 Re
0.250 0.250 0.500 Ag
0.250 0.750 0.500 Ag
0.750 0.250 0.500 Ag
0.750 0.750 0.500 Ag
0.000 0.500 0.000 Br
0.500 0.000 0.000 Br
```